No. 1
BaCa2Os: single point on PBEsol structure, meta-GGA SCAN.

Output
energy relative to the elements	482	meV/atom
total energy	-32.2068	eV/atom
calculated volume	30.8	A^3/atom

Cell: 3.8326 3.8326 8.3815 Å, 90.00 90.00 90.00°
Last column: nearest neighbours and their distance in Å.
Space group P4mm (No. 99)
One atom of each set of equivalent atoms:
Ba (0.0000, 0.0000, 0.0000) x1  1 Ca 3.11, 4 Os 3.37
Ca (0.0000, 0.0000, 0.6288) x1  4 Os 2.93, 1 Ba 3.11
Ca (0.5000, 0.5000, 0.3886) x1  1 Os 3.12, 4 Ca 3.38
Os (0.5000, 0.5000, 0.7603) x1  5 Ca 2.93-3.12

=====

No. 2
KAlRu2: single point on PBEsol structure, meta-GGA SCAN.

Output
energy relative to the elements	329	meV/atom
total energy	-21.1043	eV/atom
calculated volume	16.2	A^3/atom

Cell: 2.8107 2.8107 28.4247 Å, 90.00 90.00 120.00°
Last column: nearest neighbours and their distance in Å.
Space group R-3m (No. 166, hexagonal axes)
One atom of each set of equivalent atoms:
K (0.0000, 0.0000, 0.0000) x3  6 K 2.81
Al (0.0000, 0.0000, 0.5000) x3  6 Ru 2.54, 6 Al 2.81
Ru (0.0000, 0.0000, 0.2352) x6  3 Al 2.54, 6 Ru 2.81

=====

No. 3
SrPRu2: single point on PBEsol structure, meta-GGA SCAN.

Output
energy relative to the elements	590	meV/atom
total energy	-24.9914	eV/atom
calculated volume	16.5	A^3/atom

Cell: 4.1722 4.1722 7.5797 Å, 90.00 90.00 90.00°
Last column: nearest neighbours and their distance in Å.
Space group I-4m2 (No. 119)
One atom of each set of equivalent atoms:
Sr (0.0000, 0.0000, 0.0000) x2  8 Ru 2.82-2.95, 4 P 2.82
P (0.0000, 0.5000, 0.2500) x2  8 Ru 2.82-2.95, 4 Sr 2.82
Ru (0.0000, 0.0000, 0.5000) x2  4 Ru 2.82, 4 P 2.82, 4 Sr 2.95
Ru (0.0000, 0.5000, 0.7500) x2  4 Ru 2.82, 4 Sr 2.82, 4 P 2.95

=====

No. 4
Sm3Al5O12: single point on PBEsol structure, meta-GGA SCAN.

Output
energy relative to the elements, uncorrected	-3.58	eV per atom
total energy	-15.9235	eV/atom
calculated volume	11.2	A^3/atom

Cell: 12.1413 12.1413 12.1413 Å, 90.00 90.00 90.00°
Last column: nearest neighbours and their distance in Å.
Space group Ia-3d (No. 230)
One atom of each set of equivalent atoms:
Sm (0.0000, 0.2500, 0.1250) x24  8 O 2.35-2.48
Al (0.0000, 0.0000, 0.0000) x16  6 O 1.93
Al (0.0000, 0.2500, 0.3750) x24  4 O 1.78
O (0.0318, 0.0494, 0.6480) x96  2 Al 1.78-1.93

=====

No. 5
AgCl2: single point on PBEsol structure, meta-GGA SCAN.

Output
energy relative to the elements, uncorrected	-0.42	eV per atom
total energy	-16.1970	eV/atom
calculated volume	22.3	A^3/atom

Cell: 5.8421 5.8645 3.9069 Å, 90.00 90.00 90.00°
Last column: nearest neighbours and their distance in Å.
Space group Pnnm (No. 58)
One atom of each set of equivalent atoms:
Ag (0.0000, 0.0000, 0.0000) x2  6 Cl 2.45-2.58
Cl (0.2065, 0.2019, 0.5000) x4  3 Ag 2.45-2.58

=====

No. 6
Y2AgB2: single point on PBEsol structure, meta-GGA SCAN.

Output
energy relative to the elements	22	meV/atom
total energy	-20.3608	eV/atom
calculated volume	17.0	A^3/atom

Cell: 5.3354 5.3354 5.9830 Å, 90.00 90.00 90.00°
Last column: nearest neighbours and their distance in Å.
Space group I4/mmm (No. 139)
One atom of each set of equivalent atoms:
Y (0.0000, 0.5000, 0.2500) x4  4 B 2.76, 2 Y 2.99, 4 Ag 3.06
Ag (0.0000, 0.0000, 0.0000) x2  2 B 2.20
B (0.0000, 0.0000, 0.3669) x4  1 B 1.59